Arrangement A

{"formula": "RbDy2Cl7", "functional": "PBE-GGA", "state": "optimized geometry", "vol_a3_per_cell": 309.3, "space_group": "Cmmm (65)", "lattice_angstrom": [[-4.725, 1.066, 2.157], [-3.634, -2.243, -6.853], [1.207, -5.785, 5.502]], "species": ["Dy", "Dy", "Cl", "Cl", "Cl", "Cl", "Cl", "Cl", "Cl", "Rb"], "frac_coords": [[0.500, 0.697, 0.303], [0.500, 0.303, 0.697], [0.000, 0.704, 0.296], [0.000, 0.296, 0.704], [0.500, 0.952, 0.671], [0.500, 0.048, 0.329], [0.500, 0.500, 0.500], [0.500, 0.671, 0.952], [0.500, 0.329, 0.048], [0.000, 0.000, 0.000]]}

Arrangement B

{"formula": "RbDy2Cl7", "functional": "PBE-GGA", "state": "optimized geometry", "vol_a3_per_cell": 1222.6, "space_group": "Pnma (62)", "lattice_angstrom": [[6.984, 0.000, 0.000], [0.000, 12.713, 0.000], [0.000, 0.000, 13.770]], "species": ["Cl", "Cl", "Cl", "Cl", "Cl", "Cl", "Cl", "Cl", "Cl", "Cl", "Cl", "Cl", "Cl", "Cl", "Cl", "Cl", "Cl", "Cl", "Cl", "Cl", "Cl", "Cl", "Cl", "Cl", "Cl", "Cl", "Cl", "Cl", "Dy", "Dy", "Dy", "Dy", "Dy", "Dy", "Dy", "Dy", "Rb", "Rb", "Rb", "Rb"], "frac_coords": [[0.250, 0.691, 0.386], [0.490, 0.423, 0.128], [0.990, 0.193, 0.325], [0.510, 0.461, 0.367], [0.490, 0.693, 0.175], [0.510, 0.307, 0.825], [0.010, 0.539, 0.633], [0.510, 0.923, 0.372], [0.490, 0.539, 0.633], [0.990, 0.923, 0.372], [0.990, 0.307, 0.825], [0.510, 0.577, 0.872], [0.250, 0.809, 0.886], [0.490, 0.961, 0.133], [0.010, 0.807, 0.675], [0.510, 0.039, 0.867], [0.990, 0.039, 0.867], [0.990, 0.577, 0.872], [0.490, 0.077, 0.628], [0.010, 0.423, 0.128], [0.750, 0.191, 0.114], [0.510, 0.193, 0.325], [0.990, 0.461, 0.367], [0.490, 0.807, 0.675], [0.010, 0.961, 0.133], [0.750, 0.309, 0.614], [0.010, 0.693, 0.175], [0.010, 0.077, 0.628], [0.250, 0.541, 0.240], [0.250, 0.959, 0.740], [0.250, 0.844, 0.247], [0.750, 0.156, 0.753], [0.750, 0.459, 0.760], [0.750, 0.344, 0.253], [0.750, 0.041, 0.260], [0.250, 0.656, 0.747], [0.750, 0.700, 0.467], [0.250, 0.300, 0.533], [0.750, 0.800, 0.967], [0.250, 0.200, 0.033]]}

The structure with the most favorable energy is arrangement B; the runner-up is 37 meV/atom above it.

Arrangement A

{"formula": "Dy2RhCl", "functional": "PBE-GGA", "state": "optimized geometry", "vol_a3_per_cell": 101.9, "space_group": "R3m (160)", "lattice_angstrom": [[3.947, 0.000, 0.000], [1.974, 3.419, 0.000], [1.974, 1.140, 7.549]], "species": ["Cl", "Dy", "Dy", "Rh"], "frac_coords": [[0.495, 0.495, 0.516], [0.068, 0.068, 0.796], [0.269, 0.269, 0.192], [0.668, 0.668, 0.996]]}

Arrangement B

{"formula": "Dy2RhCl", "functional": "PBE-GGA", "state": "optimized geometry", "vol_a3_per_cell": 100.3, "space_group": "R-3m (166)", "lattice_angstrom": [[-1.056, 0.458, -3.781], [2.612, -0.707, -2.881], [-1.669, -7.159, -2.468]], "species": ["Dy", "Dy", "Rh", "Cl"], "frac_coords": [[0.266, 0.266, 0.202], [0.734, 0.734, 0.798], [0.000, 0.000, 0.000], [0.500, 0.500, 0.500]]}

The structure with the most favorable energy is arrangement B; the runner-up is 26 meV/atom above it.

Arrangement A

{"formula": "DyTcCl", "functional": "PBE-GGA", "state": "optimized geometry", "vol_a3_per_cell": 159.9, "space_group": "Cm (8)", "lattice_angstrom": [[-3.312, 0.683, -2.256], [-0.341, -1.700, -3.677], [-3.796, -8.542, 6.540]], "species": ["Dy", "Dy", "Cl", "Cl", "Tc", "Tc"], "frac_coords": [[0.640, 0.948, 0.412], [0.517, 0.814, 0.020], [0.021, 0.332, 0.562], [0.804, 0.097, 0.874], [0.915, 0.217, 0.226], [0.242, 0.544, 0.206]]}

Arrangement B

{"formula": "DyTcCl", "functional": "PBE-GGA", "state": "optimized geometry", "vol_a3_per_cell": 158.0, "space_group": "R-3m (166)", "lattice_angstrom": [[3.976, 0.000, 0.717], [1.923, 3.480, 0.717], [-0.007, -0.004, 11.419]], "species": ["Tc", "Tc", "Dy", "Dy", "Cl", "Cl"], "frac_coords": [[0.839, 0.839, 0.482], [0.161, 0.161, 0.518], [0.435, 0.435, 0.696], [0.565, 0.565, 0.304], [0.281, 0.281, 0.157], [0.719, 0.719, 0.843]]}

The structure with the most favorable energy is arrangement B; the runner-up is 33 meV/atom above it.